A geometry-optimized NaAg2Br3 structure. Source: Alexandria, functional PBE-GGA.

```
NaAg2Br3
1.0
-2.270 6.814 3.186
2.270 -6.814 3.186
2.270 6.814 -3.186
Na Ag Br
1 2 3
Cartesian
0.000 0.000 0.000
2.270 -2.293 3.186
2.270 2.293 3.186
2.270 0.000 1.705
2.270 4.468 1.525
0.000 2.346 4.711
```

Energy, eV/atom: -2.74
Space-group type: Imm2 (44)
Fermi-level density of states, states/eV per atom: 0.000

A geometry-optimized Na2Ag4Br9 structure. Source: Alexandria, functional PBE-GGA.

```
Na2Ag4Br9
1.0
7.042 0.000 0.000
-3.517 6.362 0.000
-0.010 -2.729 19.668
Na Ag Br
4 8 18
Cartesian
-1.676 2.734 2.980
-1.684 2.275 6.841
5.200 1.358 12.826
5.192 0.900 16.688
1.755 1.056 0.122
1.761 -0.308 9.956
1.703 0.320 6.265
1.808 -1.048 16.101
1.708 4.681 3.567
1.812 3.313 13.403
1.754 3.942 9.712
1.760 2.577 19.546
-0.393 0.487 1.616
3.908 3.147 18.052
-0.551 -1.056 14.849
-0.221 -0.118 8.230
0.436 2.501 4.915
-0.546 3.324 14.653
0.795 1.496 11.618
0.792 0.771 17.885
-0.393 4.512 8.218
-0.215 5.120 1.604
3.731 -1.487 18.064
3.909 -0.879 11.450
2.723 2.862 1.783
2.720 2.138 8.050
4.062 0.310 5.015
3.080 1.133 14.753
3.736 3.751 11.438
4.066 4.689 4.819
```

Energy, eV/atom: -2.49
Space-group type: P-1 (2)
Fermi-level density of states, states/eV per atom: 0.642

A geometry-optimized Na5Ag3Br12 structure. Source: Alexandria, functional PBE-GGA.

```
Na5Ag3Br12
1.0
-8.974 8.974 8.974
8.974 -8.974 8.974
8.974 8.974 -8.974
Na Ag Br
20 12 48
Cartesian
0.000 0.000 0.000
4.487 4.487 -4.487
4.487 -4.487 4.487
8.974 0.000 0.000
13.462 2.244 0.000
8.974 -4.487 6.731
6.731 8.974 -4.487
6.731 0.000 4.487
4.487 6.731 0.000
8.974 4.487 2.244
-4.487 4.487 4.487
0.000 8.974 0.000
0.000 0.000 8.974
4.487 4.487 4.487
0.000 4.487 6.731
4.487 2.244 8.974
2.244 8.974 4.487
2.244 0.000 13.462
0.000 13.462 2.244
-4.487 6.731 8.974
4.487 2.244 0.000
8.974 4.487 -2.244
2.244 0.000 4.487
11.218 0.000 4.487
0.000 4.487 2.244
4.487 -2.244 8.974
4.487 11.218 0.000
8.974 4.487 6.731
-2.244 8.974 4.487
6.731 8.974 4.487
0.000 4.487 11.218
4.487 6.731 8.974
11.898 -0.152 0.578
10.538 -3.910 4.335
2.923 0.152 0.578
10.538 5.065 -4.335
9.127 -0.578 2.923
13.309 -1.564 3.910
5.065 4.335 -1.564
8.397 2.923 -0.152
0.578 2.923 0.152
12.884 4.639 -1.564
0.152 0.578 2.923
4.335 -1.564 5.065
9.127 8.397 -2.923
4.335 1.564 3.910
3.910 4.335 1.564
9.552 6.051 -0.152
5.065 -4.335 10.538
8.397 -2.923 9.127
4.335 10.538 -3.910
9.127 0.578 6.051
1.564 3.910 4.335
2.923 -0.152 8.397
2.923 9.127 -0.578
10.538 3.910 4.639
-1.564 5.065 4.335
6.051 -0.152 9.552
6.051 9.127 0.578
7.410 5.065 4.639
-0.152 8.397 2.923
4.639 -1.564 12.884
0.578 11.898 -0.152
3.910 13.309 -1.564
-0.578 2.923 9.127
5.065 4.639 7.410
4.639 7.410 5.065
-0.152 0.578 11.898
4.639 10.538 3.910
8.822 8.397 6.051
-3.910 4.335 10.538
8.397 6.051 8.822
0.578 6.051 9.127
3.910 4.639 10.538
-4.335 10.538 5.065
-0.152 9.552 6.051
-1.564 3.910 13.309
6.051 8.822 8.397
-1.564 12.884 4.639
-2.923 9.127 8.397
```

Energy, eV/atom: -2.45
Space-group type: Ia-3d (230)
Fermi-level density of states, states/eV per atom: 0.798

A geometry-optimized NaAgBr2 structure. Source: Alexandria, functional PBE-GGA.

```
NaAgBr2
1.0
3.965 -2.283 0.000
3.965 2.283 0.000
-2.664 0.000 7.398
Na Ag Br
1 1 2
Cartesian
0.000 0.000 0.000
2.632 0.000 3.701
2.639 0.000 0.968
5.272 0.000 4.517
```

Energy, eV/atom: -2.80
Space-group type: Cm (8)
Fermi-level density of states, states/eV per atom: 0.000

A geometry-optimized NaAg3Br4 structure. Source: Alexandria, functional PBE-GGA.

```
NaAg3Br4
1.0
-3.205 3.205 6.315
3.205 -3.205 6.315
3.205 3.205 -6.315
Na Ag Br
1 3 4
Cartesian
0.000 0.000 0.000
3.205 0.000 3.157
0.000 0.000 6.315
0.000 3.205 3.157
1.658 1.658 -1.631
1.547 -1.547 7.946
1.547 1.547 4.683
-1.547 1.547 7.946
```

Energy, eV/atom: -2.70
Space-group type: I-42m (121)
Fermi-level density of states, states/eV per atom: 0.000

A geometry-optimized NaAgBr structure. Source: Alexandria, functional PBE-GGA.

```
NaAgBr
1.0
11.549 0.000 0.000
0.000 2.015 3.492
0.000 -2.015 3.492
Na Ag Br
2 2 2
Cartesian
2.097 0.000 0.000
9.453 0.000 0.000
0.000 0.000 4.658
5.775 0.000 6.978
3.937 0.000 4.653
7.612 0.000 4.653
```

Energy, eV/atom: -2.43
Space-group type: Amm2 (38)
Fermi-level density of states, states/eV per atom: 0.168

A geometry-optimized Na3AgBr4 structure. Source: Alexandria, functional PBE-GGA.

```
Na3AgBr4
1.0
5.965 0.000 0.000
0.000 5.965 0.000
0.000 0.000 5.965
Na Ag Br
3 1 4
Cartesian
0.000 0.000 2.983
0.000 2.983 0.000
2.983 0.000 0.000
2.983 2.983 2.983
0.000 0.000 0.000
0.000 2.983 2.983
2.983 0.000 2.983
2.983 2.983 0.000
```

Energy, eV/atom: -2.93
Space-group type: Pm-3m (221)

A geometry-optimized NaAg4Br5 structure. Source: Alexandria, functional PBE-GGA.

```
NaAg4Br5
1.0
4.518 0.000 0.000
-2.259 3.913 0.000
0.000 0.000 36.369
Na Ag Br
2 8 10
Cartesian
0.000 0.000 0.000
0.000 0.000 7.438
0.000 0.000 14.758
0.000 0.000 21.922
0.000 0.000 29.084
0.000 2.609 3.716
0.000 2.609 11.162
0.000 2.609 18.339
0.000 2.609 25.505
0.000 2.609 32.659
0.000 0.000 4.566
0.000 0.000 12.015
0.000 0.000 19.169
0.000 0.000 26.333
0.000 0.000 33.491
0.000 2.609 0.985
0.000 2.609 8.436
0.000 2.609 15.590
0.000 2.609 22.751
0.000 2.609 29.911
```

Energy, eV/atom: -2.68
Space-group type: P3m1 (156)

A geometry-optimized NaAg2Br4 structure. Source: Alexandria, functional PBE-GGA.

```
NaAg2Br4
1.0
5.874 0.000 0.000
0.000 5.874 0.000
0.000 0.000 6.952
Na Ag Br
1 2 4
Cartesian
0.000 0.000 0.000
0.000 2.937 3.476
2.937 0.000 3.476
1.568 1.568 1.822
1.568 4.307 5.130
4.307 1.568 5.130
4.307 4.307 1.822
```

Energy, eV/atom: -2.53
Space-group type: P-42m (111)
Fermi-level density of states, states/eV per atom: 1.174

A geometry-optimized NaAgBr2 structure. Source: Alexandria, functional PBE-GGA.

```
NaAgBr2
1.0
2.079 1.200 7.120
-2.079 1.200 7.120
0.000 -2.400 7.120
Na Ag Br
1 1 2
Cartesian
0.000 0.000 0.000
0.000 0.000 17.781
0.000 0.000 5.216
0.000 0.000 8.991
```

Energy, eV/atom: -2.77
Space-group type: R3m (160)
Fermi-level density of states, states/eV per atom: 0.000

A geometry-optimized Na3Ag2Br6 structure. Source: Alexandria, functional PBE-GGA.

```
Na3Ag2Br6
1.0
2.094 1.209 20.557
-2.094 1.209 20.557
0.000 -2.417 20.557
Na Ag Br
3 2 6
Cartesian
0.000 0.000 0.000
0.000 0.000 17.031
0.000 0.000 44.639
0.000 0.000 27.706
0.000 0.000 33.963
0.000 0.000 5.306
0.000 0.000 12.169
0.000 0.000 22.320
0.000 0.000 39.349
0.000 0.000 49.501
0.000 0.000 56.364
```

Energy, eV/atom: -2.73
Space-group type: R-3m (166)
Fermi-level density of states, states/eV per atom: 1.170

A geometry-optimized Na2AgBr5 structure. Source: Alexandria, functional PBE-GGA.

```
Na2AgBr5
1.0
2.914 -7.021 0.000
2.914 7.021 0.000
0.000 0.000 12.676
Na Ag Br
4 2 10
Cartesian
2.914 4.512 7.353
2.914 4.512 11.661
2.914 -4.512 1.015
2.914 -4.512 5.323
2.914 4.544 3.169
2.914 -4.544 9.507
2.914 6.385 1.303
2.914 6.385 5.035
2.914 2.649 1.306
2.914 2.649 5.032
2.914 2.521 9.507
2.914 -2.521 3.169
2.914 -2.649 7.644
2.914 -2.649 11.370
2.914 -6.385 7.641
2.914 -6.385 11.373
```

Energy, eV/atom: -2.53
Space-group type: Cmcm (63)
Fermi-level density of states, states/eV per atom: 0.453